Entry 1:
# MgInHPd2

A relaxed structure of MgInHPd2 (PBE, Alexandria via LeMat-Bulk).

total energy: -20.01 eV per cell

Cell lengths 4.189, 4.189, 4.032 Å; angles 90.00, 90.00, 90.00 degrees
Element x y z (fractional)
Mg 0.000 0.000 0.500
H 0.000 0.000 0.000
Pd 0.000 0.500 0.000
Pd 0.500 0.000 0.000
In 0.500 0.500 0.500

***

Entry 2:
# Mg2InHPd

A relaxed structure of Mg2InHPd (PBE, Alexandria via LeMat-Bulk).

relative energy among the computed polymorphs: 0 meV/atom
total energy: -15.78 eV per cell

Cell lengths 4.740, 4.740, 3.574 Å; angles 90.00, 90.00, 90.00 degrees
Element x y z (fractional)
Mg 0.500 0.000 0.000
Mg 0.000 0.500 0.000
H 0.000 0.000 0.000
In 0.500 0.500 0.500
Pd 0.000 0.000 0.500

***

Entry 3:
# Mg2InHPd

A relaxed structure of Mg2InHPd (PBE, Alexandria via LeMat-Bulk).

relative energy among the computed polymorphs: 79 meV/atom
total energy: -15.39 eV per cell

Cell lengths 4.220, 4.220, 4.414 Å; angles 90.00, 90.00, 90.00 degrees
Element x y z (fractional)
Mg 0.000 0.500 0.000
Mg 0.500 0.000 0.000
In 0.000 0.000 0.500
H 0.000 0.000 0.000
Pd 0.500 0.500 0.500

***

Entry 4:
# PmMgInH

A relaxed structure of PmMgInH (PBE, Alexandria via LeMat-Bulk).

total energy: -28.33 eV per cell

Cell lengths 4.395, 4.395, 8.315 Å; angles 90.00, 90.00, 90.00 degrees
Element x y z (fractional)
Pm 0.500 0.000 0.131
Pm 0.000 0.500 0.869
In 0.000 0.500 0.267
In 0.500 0.000 0.733
H 0.000 0.000 0.000
H 0.500 0.500 0.000
Mg 0.000 0.000 0.500
Mg 0.500 0.500 0.500

***

Entry 5:
# Mg2InHPt

A relaxed structure of Mg2InHPt (PBE, Alexandria via LeMat-Bulk).

relative energy among the computed polymorphs: 0 meV/atom
total energy: -16.89 eV per cell

Cell lengths 4.727, 4.727, 3.561 Å; angles 90.00, 90.00, 90.00 degrees
Element x y z (fractional)
Mg 0.000 0.500 0.000
Mg 0.500 0.000 0.000
H 0.000 0.000 0.000
In 0.500 0.500 0.500
Pt 0.000 0.000 0.500

***

Entry 6:
# Mg2InHPt

A relaxed structure of Mg2InHPt (PBE, Alexandria via LeMat-Bulk).

relative energy among the computed polymorphs: 64 meV/atom
total energy: -16.57 eV per cell

Cell lengths 4.199, 4.199, 4.346 Å; angles 90.00, 90.00, 90.00 degrees
Element x y z (fractional)
In 0.000 0.000 0.500
H 0.000 0.000 0.000
Mg 0.000 0.500 0.000
Mg 0.500 0.000 0.000
Pt 0.500 0.500 0.500

***

Entry 7:
# Mg2InHRh

A relaxed structure of Mg2InHRh (PBE, Alexandria via LeMat-Bulk).

relative energy among the computed polymorphs: 112 meV/atom
total energy: -17.50 eV per cell

Cell lengths 4.079, 4.079, 4.479 Å; angles 90.00, 90.00, 90.00 degrees
Element x y z (fractional)
Rh 0.500 0.500 0.500
H 0.000 0.000 0.000
Mg 0.500 0.000 0.000
Mg 0.000 0.500 0.000
In 0.000 0.000 0.500

***

Entry 8:
# Mg2InHRh

A relaxed structure of Mg2InHRh (PBE, Alexandria via LeMat-Bulk).

relative energy among the computed polymorphs: 0 meV/atom
total energy: -18.05 eV per cell

Cell lengths 4.559, 4.559, 3.618 Å; angles 90.00, 90.00, 90.00 degrees
Element x y z (fractional)
Mg 0.500 0.000 0.000
Mg 0.000 0.500 0.000
Rh 0.000 0.000 0.500
H 0.000 0.000 0.000
In 0.500 0.500 0.500